A relaxed Y2AlAg crystal. Source: Alexandria, functional PBE-GGA.

ρ: 4.721 g/cm³
SG: I-42d, No. 122
Final energy: -18.359 eV/f.u.

abc: 4.633 4.633 10.757
angles: 77.56 77.56 90.00
Positions (direct):
Y: 0.619 0.125 0.250
Y: 0.131 0.625 0.250
Y: 0.375 0.381 0.750
Y: 0.875 0.869 0.750
Al: 0.500 0.500 0.000
Al: 0.250 0.750 0.500
Ag: 0.000 0.000 0.000
Ag: 0.750 0.250 0.500

=====

A relaxed PmCd12Pd6 crystal. Source: Alexandria, functional PBE-GGA.

ρ: 8.684 g/cm³
SG: R-3m, No. 166
Final energy: -51.089 eV/f.u.

abc: 7.812 7.812 7.812
angles: 105.96 105.96 105.96
Positions (direct):
Pm: 0.000 0.000 0.000
Cd: 0.884 0.116 0.500
Cd: 0.862 0.611 0.611
Cd: 0.611 0.611 0.862
Cd: 0.389 0.138 0.389
Cd: 0.389 0.389 0.138
Cd: 0.138 0.389 0.389
Cd: 0.116 0.500 0.884
Cd: 0.500 0.884 0.116
Cd: 0.116 0.884 0.500
Cd: 0.884 0.500 0.116
Cd: 0.500 0.116 0.884
Cd: 0.611 0.862 0.611
Pd: 0.701 0.283 0.283
Pd: 0.283 0.283 0.701
Pd: 0.283 0.701 0.283
Pd: 0.717 0.717 0.299
Pd: 0.299 0.717 0.717
Pd: 0.717 0.299 0.717

=====

A relaxed Li3NiN crystal. Source: Alexandria, functional PBE-GGA.

ρ: 2.747 g/cm³
Formation energy (no corrections): 0.18 eV per atom
SG: Pm-3m, No. 221

abc: 3.838 3.838 3.838
angles: 90.00 90.00 90.00
Positions (direct):
Ni: 0.500 0.500 0.500
Li: 0.000 0.500 0.000
Li: 0.000 0.000 0.500
Li: 0.500 0.000 0.000
N: 0.000 0.000 0.000

=====

A relaxed Ac4Rh2I3 crystal. Source: Alexandria, functional PBE-GGA.

ρ: 7.244 g/cm³
Formation energy (no corrections): -0.89 eV per atom
SG: C2/c, No. 15

abc: 6.227 10.561 10.561
angles: 80.65 90.98 90.98
Positions (direct):
Ac: 0.494 0.959 0.323
Ac: 0.006 0.677 0.041
Ac: 0.506 0.041 0.677
Ac: 0.994 0.323 0.959
Ac: 0.002 0.219 0.405
Ac: 0.498 0.595 0.781
Ac: 0.998 0.781 0.595
Ac: 0.502 0.405 0.219
Rh: 0.498 0.196 0.423
Rh: 0.002 0.577 0.804
Rh: 0.502 0.804 0.577
Rh: 0.998 0.423 0.196
I: 0.990 0.988 0.191
I: 0.510 0.809 0.012
I: 0.010 0.012 0.809
I: 0.490 0.191 0.988
I: 0.250 0.631 0.369
I: 0.750 0.369 0.631

=====

A relaxed Ce6IrPb crystal. Source: Alexandria, functional PBE-GGA.

ρ: 9.611 g/cm³
SG: P-1, No. 2
Final energy: -50.035 eV/f.u.

abc: 6.595 7.940 5.395
angles: 69.31 70.64 55.35
Positions (direct):
Ce: 0.014 0.374 0.759
Ce: 0.749 0.985 0.645
Ce: 0.495 0.222 0.163
Ce: 0.251 0.015 0.355
Ce: 0.986 0.626 0.241
Ce: 0.505 0.778 0.837
Ir: 0.000 0.000 0.000
Pb: 0.500 0.500 0.500

=====

A relaxed PrHo2Tm6Sc3 crystal. Source: Alexandria, functional PBE-GGA.

ρ: 7.664 g/cm³
SG: C2/m, No. 12
Final energy: -59.207 eV/f.u.

abc: 6.004 6.004 11.412
angles: 95.02 95.02 119.97
Positions (direct):
Pr: 0.000 0.000 0.000
Ho: 0.333 0.667 0.000
Ho: 0.667 0.333 0.000
Tm: 0.913 0.579 0.740
Tm: 0.753 0.753 0.260
Tm: 0.087 0.421 0.260
Tm: 0.579 0.913 0.740
Tm: 0.247 0.247 0.740
Tm: 0.421 0.087 0.260
Sc: 0.167 0.833 0.500
Sc: 0.833 0.167 0.500
Sc: 0.500 0.500 0.500

=====

A relaxed CrBiPt3 crystal. Source: Alexandria, functional PBE-GGA.

ρ: 13.753 g/cm³
SG: Pm-3m, No. 221
Final energy: -28.582 eV/f.u.

abc: 4.675 4.675 4.675
angles: 90.00 90.00 90.00
Positions (direct):
Cr: 0.000 0.000 0.000
Bi: 0.500 0.500 0.500
Pt: 0.000 0.500 0.000
Pt: 0.000 0.000 0.500
Pt: 0.500 0.000 0.000

=====

A relaxed SrLa2InRh crystal. Source: Alexandria, functional PBE-GGA.

ρ: 5.739 g/cm³
SG: P4/mmm, No. 123
Final energy: -23.591 eV/f.u.

abc: 5.560 5.560 5.458
angles: 90.00 90.00 90.00
Positions (direct):
Sr: 0.500 0.500 0.500
In: 0.000 0.000 0.500
Rh: 0.000 0.000 0.000
La: 0.000 0.500 0.000
La: 0.500 0.000 0.000